Material: Sr4Mn2CuO9
Method: DFT, SCAN
State: single point on PBEsol structure

Properties
For the electronic total energy, the calculation gives -715.431 eV per cell. The magnetization comes out at 7.0 μB per formula unit.

abc: 7.771 9.522 9.526
angles: 60.25 89.85 89.97
Space group P1 (No. 1)
Symmetry-distinct sites (fractional):
1 Sr 0.000 0.000 0.000 x1
2 Sr 0.000 0.356 0.284 x1
3 Sr 0.244 0.029 0.310 x1
4 Sr 0.249 0.306 0.665 x1
5 Sr 0.254 0.662 0.954 x1
6 Sr 0.499 0.971 0.970 x1
7 Sr 0.502 0.336 0.332 x1
8 Sr 0.503 0.687 0.623 x1
9 Sr 0.747 0.664 0.980 x1
10 Sr 0.749 0.340 0.633 x1
11 Sr 0.752 0.996 0.309 x1
12 Sr 0.993 0.637 0.643 x1
13 Mn 0.156 0.337 0.966 x1
14 Mn 0.343 0.006 0.634 x1
15 Mn 0.585 0.669 0.300 x1
16 Mn 0.676 0.010 0.631 x1
17 Mn 0.823 0.338 0.966 x1
18 Mn 0.914 0.670 0.297 x1
19 Cu 0.009 0.942 0.696 x1
20 Cu 0.249 0.668 0.366 x1
21 Cu 0.490 0.276 0.032 x1
22 O 0.027 0.678 0.125 x1
23 O 0.057 0.509 0.456 x1
24 O 0.057 0.823 0.311 x1
25 O 0.199 0.853 0.624 x1
26 O 0.202 0.985 0.806 x1
27 O 0.224 0.179 0.478 x1
28 O 0.274 0.494 0.793 x1
29 O 0.298 0.166 0.987 x1
30 O 0.298 0.348 0.120 x1
31 O 0.438 0.828 0.299 x1
32 O 0.444 0.514 0.468 x1
33 O 0.472 0.658 0.138 x1
34 O 0.507 0.012 0.477 x1
35 O 0.507 0.147 0.659 x1
36 O 0.508 0.840 0.783 x1
37 O 0.679 0.349 0.114 x1
38 O 0.680 0.175 0.980 x1
39 O 0.715 0.496 0.795 x1
40 O 0.748 0.826 0.154 x1
41 O 0.749 0.672 0.453 x1
42 O 0.751 0.517 0.308 x1
43 O 0.785 0.182 0.473 x1
44 O 0.817 0.996 0.794 x1
45 O 0.820 0.862 0.618 x1
46 O 0.990 0.184 0.136 x1
47 O 0.992 0.311 0.826 x1
48 O 0.993 0.491 0.961 x1

=====

Material: Mn5Cu3Te16O40
Method: DFT, SCAN
State: single point on PBEsol structure

Properties
For the electronic total energy, the calculation gives -2124.062 eV per cell. The magnetization comes out at 26.4 μB per formula unit.

abc: 12.270 12.279 12.758
angles: 90.00 90.00 90.00
Space group C222 (No. 21)
Symmetry-distinct sites (fractional):
1 Mn 0.000 0.000 0.000 x2
2 Mn 0.000 0.000 0.254 x4
3 Mn 0.000 0.500 0.250 x4
4 Cu 0.000 0.000 0.500 x2
5 Cu 0.000 0.500 0.000 x2
6 Cu 0.000 0.500 0.500 x2
7 Te 0.054 0.266 0.134 x8
8 Te 0.055 0.234 0.633 x8
9 Te 0.233 0.444 0.367 x8
10 Te 0.237 0.057 0.866 x8
11 O 0.000 0.194 0.000 x4
12 O 0.000 0.300 0.500 x4
13 O 0.033 0.107 0.385 x8
14 O 0.035 0.392 0.886 x8
15 O 0.053 0.322 0.298 x8
16 O 0.054 0.177 0.798 x8
17 O 0.104 0.025 0.110 x8
18 O 0.107 0.467 0.617 x8
19 O 0.176 0.050 0.704 x8
20 O 0.179 0.444 0.200 x8
21 O 0.201 0.000 0.500 x4
22 O 0.202 0.500 0.000 x4

=====

Material: Mn4ZnCu3O12
Method: DFT, SCAN
State: single point on PBEsol structure

Properties
For the electronic total energy, the calculation gives -478.753 eV per cell. The magnetization comes out at 9.0 μB per formula unit.

abc: 7.104 7.104 7.104
angles: 90.00 90.00 90.00
Space group Im-3 (No. 204)
Symmetry-distinct sites (fractional):
1 Mn 0.250 0.250 0.250 x8
2 Zn 0.000 0.000 0.000 x2
3 Cu 0.000 0.000 0.500 x6
4 O 0.000 0.301 0.178 x24

=====

Material: MnCuOs2
Method: DFT, SCAN
State: single point on PBEsol structure

Properties
Its energy relative to the elements is 0.1006 eV per atom. The magnetization comes out at 3.2 μB per formula unit.

abc: 8.798 2.679 4.457
angles: 90.00 100.42 90.00
Space group Cm (No. 8)
Symmetry-distinct sites (fractional):
1 Mn 0.000 0.000 0.000 x2
2 Cu 0.250 0.500 0.225 x2
3 Os 0.004 0.500 0.499 x2
4 Os 0.251 0.000 0.725 x2

=====

Material: MnCu2Os
Method: DFT, SCAN
State: single point on PBEsol structure

Properties
Its excess energy over the best structure of this formula in the dataset is 0.013 eV per atom. Its energy relative to the elements is 0.1639 eV per atom. The magnetization comes out at 4.0 μB per formula unit.

abc: 5.029 8.664 2.519
angles: 90.00 113.97 90.00
Space group C2/m (No. 12)
Symmetry-distinct sites (fractional):
1 Mn 0.000 0.000 0.000 x2
2 Cu 0.250 0.250 0.500 x4
3 Os 0.000 0.500 0.000 x2

=====

Material: MnCu2Os
Method: DFT, SCAN
State: single point on PBEsol structure

Properties
Its excess energy over the best structure of this formula in the dataset is 0.000 eV per atom. Its energy relative to the elements is 0.1511 eV per atom. The magnetization comes out at 2.8 μB per formula unit.

abc: 3.678 3.678 7.109
angles: 90.00 90.00 90.00
Space group I-4m2 (No. 119)
Symmetry-distinct sites (fractional):
1 Mn 0.000 0.000 0.000 x2
2 Cu 0.000 0.000 0.500 x2
3 Cu 0.000 0.500 0.750 x2
4 Os 0.000 0.500 0.250 x2

=====

Material: MnCu2Os
Method: DFT, SCAN
State: single point on PBEsol structure

Properties
Its excess energy over the best structure of this formula in the dataset is 0.005 eV per atom. Its energy relative to the elements is 0.1562 eV per atom. The magnetization comes out at 3.7 μB per formula unit.

abc: 2.751 4.201 4.301
angles: 90.00 90.00 90.00
Space group Pmmm (No. 47)
Symmetry-distinct sites (fractional):
1 Mn 0.000 0.000 0.000 x1
2 Cu 0.000 0.500 0.500 x1
3 Cu 0.500 0.000 0.500 x1
4 Os 0.500 0.500 0.000 x1

=====

Material: MnCuOs
Method: DFT, SCAN
State: single point on PBEsol structure

Properties
Its energy relative to the elements is 0.7110 eV per atom. The magnetization comes out at 2.1 μB per formula unit.

abc: 5.616 5.616 5.616
angles: 90.00 90.00 90.00
Space group F-43m (No. 216)
Symmetry-distinct sites (fractional):
1 Mn 0.000 0.000 0.000 x4
2 Cu 0.000 0.000 0.500 x4
3 Os 0.250 0.250 0.750 x4

=====

Material: MnCu2Os
Method: DFT, SCAN
State: single point on PBEsol structure

Properties
Its excess energy over the best structure of this formula in the dataset is 0.075 eV per atom. Its energy relative to the elements is 0.2260 eV per atom. The magnetization comes out at 3.9 μB per formula unit.

abc: 2.5970 2.5970 25.5218
angles: 90.00 90.00 120.00
Space group R-3m (No. 166, hexagonal axes)
Symmetry-distinct sites (fractional):
1 Mn 0.0000 0.0000 0.0000 x3
2 Cu 0.0000 0.0000 0.2521 x6
3 Os 0.0000 0.0000 0.5000 x3

=====

Material: Ta2MnCuOs
Method: DFT, SCAN
State: single point on PBEsol structure

Properties
Its energy relative to the elements is 1.2398 eV per atom. The magnetization comes out at 0.0 μB per formula unit.

abc: 4.393 4.393 4.255
angles: 90.00 90.00 90.00
Space group P4/mmm (No. 123)
Symmetry-distinct sites (fractional):
1 Ta 0.000 0.500 0.000 x2
2 Mn 0.000 0.000 0.000 x1
3 Cu 0.000 0.000 0.500 x1
4 Os 0.500 0.500 0.500 x1

=====

Material: MnCuP4
Method: DFT, SCAN
State: single point on PBEsol structure

Properties
Its energy relative to the elements is 0.6439 eV per atom. The magnetization comes out at 4.4 μB per formula unit.

abc: 6.958 6.958 6.958
angles: 90.00 90.00 90.00
Space group F-43m (No. 216)
Symmetry-distinct sites (fractional):
1 Mn 0.000 0.000 0.000 x4
2 Cu 0.250 0.250 0.250 x4
3 P 0.124 0.124 0.624 x16

=====

Material: MnCuP2S
Method: DFT, SCAN
State: single point on PBEsol structure

Properties
For the electronic total energy, the calculation gives -60.694 eV per cell. The magnetization comes out at 1.3 μB per formula unit.

abc: 4.118 4.118 4.953
angles: 90.00 90.00 90.00
Space group P4/mmm (No. 123)
Symmetry-distinct sites (fractional):
1 Mn 0.000 0.000 0.000 x1
2 Cu 0.500 0.500 0.500 x1
3 P 0.000 0.500 0.000 x2
4 S 0.000 0.000 0.500 x1